No. 1
DFT (GGA+U) results for an optimized crystal structure of Tl2VCl5F.

The total magnetization is 1.99 Bohr magnetons per cell. The total DFT energy (no corrections) comes out at -3.85 eV/atom.

It has space group I4mm (No. 107), with a = 7.282 Å, b = 7.282 Å, c = 9.219 Å, α = 90.00°, β = 90.00° and γ = 90.00°. The inequivalent atoms are Tl at (0.000, 0.500, 0.000), V at (0.000, 0.000, 0.248), Cl at (0.000, 0.000, 0.496), Cl at (0.231, 0.231, 0.249) and F at (0.000, 0.000, 0.052).



No. 2
DFT (GGA+U) results for an optimized crystal structure of Tl2VCl2F2.

The total magnetization is 6.00 Bohr magnetons per cell. The calculation puts the density of states at the Fermi level at 0.0 states/eV/f.u. The total DFT energy (no corrections) comes out at -4.47 eV/atom.

It has space group I4/mmm (No. 139), with a = 4.418 Å, b = 4.418 Å, c = 16.297 Å, α = 90.00°, β = 90.00° and γ = 90.00°. The inequivalent atoms are Tl at (0.000, 0.000, 0.131), V at (0.000, 0.000, 0.500), Cl at (0.000, 0.000, 0.343) and F at (0.000, 0.500, 0.000).



No. 3
DFT (GGA+U) results for an optimized crystal structure of Tl2VCl3F.

The total magnetization is 6.00 Bohr magnetons per cell. The total DFT energy (no corrections) comes out at -4.20 eV/atom.

It has space group Immm (No. 71), with a = 4.217 Å, b = 5.124 Å, c = 16.771 Å, α = 90.00°, β = 90.00° and γ = 90.00°. The inequivalent atoms are Tl at (0.000, 0.000, 0.147), V at (0.000, 0.000, 0.500), Cl at (0.000, 0.000, 0.347), Cl at (0.000, 0.500, 0.500) and F at (0.000, 0.500, 0.000).



No. 4
DFT (GGA+U) results for an optimized crystal structure of Tl3WCl2F6.

The total magnetization is 2.00 Bohr magnetons per cell. The calculation puts the density of states at the Fermi level at 0.0 states/eV/f.u. The total DFT energy (no corrections) comes out at -4.45 eV/atom.

It has space group C2/m (No. 12), with a = 16.002 Å, b = 7.972 Å, c = 4.730 Å, α = 90.00°, β = 92.34° and γ = 90.00°. The inequivalent atoms are Tl at (0.000, 0.000, 0.000), Tl at (0.250, 0.250, 0.500), W at (0.000, 0.500, 0.500), Cl at (0.193, 0.000, 0.979), F at (0.049, 0.321, 0.279) and F at (0.105, 0.500, 0.717).



Question: Among the records above, which one has the lowest total DFT energy (no corrections)?
Answer: Tl2VCl2F2



Question: Which value of total DFT energy (no corrections) does entry 4 give?
Answer: -4.45 eV/atom